(1)
The following is a DFT calculation (GGA-PBE) of NbNiOs2 after structural relaxation.

Space-group type: P4/mmm
Magnetic moment: 0.0 μB per formula unit
V: 14.38 Å³ per atom
Total DFT energy (no corrections): -9.711 eV/atom

Structure (extended XYZ):
```
4
Lattice="-0.915 -2.564 -2.673 2.487 -2.531 1.576 -2.832 -1.364 2.279" Properties=species:S:1:pos:R:3 pbc="T T T"
Ni -0.458 -1.282 -1.336
Nb -0.630 -3.230 0.591
Os -1.416 -0.682 1.139
Os 1.244 -1.265 0.788
```

---

(2)
The following is a DFT calculation (GGA-PBE) of Nb3NiOs3 after structural relaxation.

Space-group type: C2/m
Magnetic moment: 0.0 μB per formula unit
V: 16.71 Å³ per atom
Total DFT energy (no corrections): -9.853 eV/atom

Structure (extended XYZ):
```
14
Lattice="-4.115 -4.363 1.044 0.795 -2.213 -5.615 4.569 -3.795 2.144" Properties=species:S:1:pos:R:3 pbc="T T T"
Os -0.513 -5.684 0.330
Os -0.498 -2.780 -3.861
Os -0.185 -6.786 -2.327
Os 1.434 -3.585 -0.100
Os -2.822 -3.797 -0.710
Os 1.763 -4.687 -2.757
Nb 1.529 -2.048 -2.275
Nb -2.193 -7.512 -4.042
Nb 3.442 -2.859 1.615
Nb -0.924 -3.122 1.052
Nb -0.280 -8.323 -0.152
Nb 2.173 -7.249 -3.479
Ni -2.375 -4.712 -3.272
Ni 3.624 -5.660 0.845
```

---

(3)
The following is a DFT calculation (GGA-PBE) of Nb2Ni2Os after structural relaxation.

Space-group type: P4/mbm
Magnetic moment: 0.0 μB per formula unit
V: 14.46 Å³ per atom
Total DFT energy (no corrections): -8.765 eV/atom

Structure (extended XYZ):
```
10
Lattice="-2.105 -5.112 3.844 -0.787 -3.810 -5.496 3.006 -1.026 0.281" Properties=species:S:1:pos:R:3 pbc="T T T"
Nb 0.587 -4.029 -2.906
Nb -0.474 -5.919 1.535
Nb 0.688 -2.834 0.376
Nb -0.575 -7.114 -1.747
Ni -1.485 -5.272 -3.372
Ni -2.337 -6.857 -0.049
Ni -1.407 -3.650 1.720
Ni -0.555 -2.064 -1.603
Os -1.446 -4.461 -0.826
Os 0.000 0.000 0.000
```

---

(4)
The following is a DFT calculation (GGA-PBE) of Nb2NiOs after structural relaxation.

Space-group type: I-42d
Magnetic moment: 0.0 μB per formula unit
V: 16.59 Å³ per atom
Total DFT energy (no corrections): -8.917 eV/atom

Structure (extended XYZ):
```
8
Lattice="7.002 0.000 0.000 0.000 7.002 0.000 3.501 3.501 2.707" Properties=species:S:1:pos:R:3 pbc="T T T"
Nb 1.789 5.252 0.677
Nb 5.214 1.751 0.677
Nb 8.753 8.715 2.030
Nb 5.252 5.290 2.030
Ni 3.501 7.002 1.353
Ni 3.501 3.501 0.000
Os 0.000 0.000 0.000
Os 7.002 3.501 1.353
```

---

(5)
The following is a DFT calculation (GGA-PBE) of NbNi2Os2 after structural relaxation.

Space-group type: P4/mbm
Magnetic moment: 0.0 μB per formula unit
V: 13.80 Å³ per atom
Total DFT energy (no corrections): -8.711 eV/atom

Structure (extended XYZ):
```
10
Lattice="7.071 0.000 0.000 0.000 7.071 0.000 0.000 0.000 2.760" Properties=species:S:1:pos:R:3 pbc="T T T"
Os 1.239 4.774 1.380
Os 4.774 5.832 1.380
Os 2.296 1.239 1.380
Os 5.832 2.296 1.380
Ni 6.221 4.385 0.000
Ni 4.385 0.850 0.000
Ni 0.850 2.686 0.000
Ni 2.686 6.221 0.000
Nb 3.535 3.535 0.000
Nb 0.000 0.000 0.000
```

---

(6)
The following is a DFT calculation (GGA-PBE) of NbNiOs after structural relaxation.

Space-group type: I4mm
Magnetic moment: 0.7 μB per formula unit
V: 14.73 Å³ per atom
Total DFT energy (no corrections): -9.047 eV/atom

Structure (extended XYZ):
```
3
Lattice="-1.026 -2.509 -1.779 3.076 -0.830 -0.603 -1.010 -0.765 4.616" Properties=species:S:1:pos:R:3 pbc="T T T"
Ni 1.028 -2.224 -0.411
Nb 1.038 -3.867 1.900
Os 0.008 -1.387 1.952
```

---

(7)
The following is a DFT calculation (GGA-PBE) of NbNiOs2 after structural relaxation.

Space-group type: I-42d
Magnetic moment: 0.0 μB per formula unit
V: 16.22 Å³ per atom
Total DFT energy (no corrections): -9.117 eV/atom

Structure (extended XYZ):
```
8
Lattice="3.841 0.000 0.000 0.000 3.841 0.000 1.920 1.920 8.798" Properties=species:S:1:pos:R:3 pbc="T T T"
Ni 1.920 1.920 0.000
Ni 1.920 3.841 4.399
Os 1.178 2.881 2.200
Os 2.881 3.098 6.599
Os 2.663 0.960 2.200
Os 4.801 4.583 6.599
Nb 0.000 0.000 0.000
Nb 3.841 1.920 4.399
```

---

(8)
The following is a DFT calculation (GGA-PBE) of NbNiOs after structural relaxation.

Space-group type: P-6m2
Magnetic moment: 0.0 μB per formula unit
V: 14.73 Å³ per atom
Total DFT energy (no corrections): -9.005 eV/atom

Structure (extended XYZ):
```
3
Lattice="-0.005 0.123 -2.687 -0.267 -4.343 -0.198 -3.631 2.402 0.116" Properties=species:S:1:pos:R:3 pbc="T T T"
Nb -1.392 -2.013 -1.885
Ni -0.001 0.020 -0.447
Os -2.511 0.174 -0.436
```

---

(9)
The following is a DFT calculation (GGA-PBE) of NbNiOs after structural relaxation.

Space-group type: P6_3/mmc
Magnetic moment: 0.0 μB per formula unit
V: 14.28 Å³ per atom
Total DFT energy (no corrections): -9.287 eV/atom

Structure (extended XYZ):
```
6
Lattice="-4.132 -1.205 -0.262 2.223 -0.694 3.630 -1.505 4.763 1.832" Properties=species:S:1:pos:R:3 pbc="T T T"
Ni -1.290 3.548 4.029
Ni -2.656 0.996 1.816
Os -0.265 0.840 0.323
Os -1.018 3.221 1.239
Nb -0.537 1.167 3.114
Nb -3.408 3.378 2.732
```

---

(10)
The following is a DFT calculation (GGA-PBE) of NbNi3Os after structural relaxation.

Space-group type: Pm-3m
Magnetic moment: 1.4 μB per formula unit
V: 16.77 Å³ per atom
Total DFT energy (no corrections): -5.954 eV/atom

Structure (extended XYZ):
```
5
Lattice="-3.358 0.884 -2.664 2.526 -0.857 -3.470 -1.222 -4.200 0.148" Properties=species:S:1:pos:R:3 pbc="T T T"
Ni 1.263 -0.429 -1.735
Ni -0.611 -2.100 0.074
Ni -1.679 0.442 -1.332
Nb 0.000 0.000 0.000
Os -1.027 -2.087 -2.993
```

---

(11)
The following is a DFT calculation (GGA-PBE) of Nb3NiOs after structural relaxation.

Space-group type: Pm-3m
Magnetic moment: 0.0 μB per formula unit
V: 18.63 Å³ per atom
Total DFT energy (no corrections): -8.405 eV/atom

Structure (extended XYZ):
```
5
Lattice="4.533 0.000 0.000 0.000 4.533 0.000 0.000 0.000 4.533" Properties=species:S:1:pos:R:3 pbc="T T T"
Nb 0.000 2.266 0.000
Nb 2.266 0.000 0.000
Nb 0.000 0.000 2.266
Ni 0.000 0.000 0.000
Os 2.266 2.266 2.266
```

---

(12)
The following is a DFT calculation (GGA-PBE) of Nb3NiOs after structural relaxation.

Space-group type: Pm-3m
Magnetic moment: 0.0 μB per formula unit
V: 22.41 Å³ per atom
Total DFT energy (no corrections): -8.138 eV/atom

Structure (extended XYZ):
```
5
Lattice="4.821 0.000 0.000 0.000 4.821 0.000 0.000 0.000 4.821" Properties=species:S:1:pos:R:3 pbc="T T T"
Nb 2.411 0.000 0.000
Nb 0.000 2.411 0.000
Nb 0.000 0.000 2.411
Os 0.000 0.000 0.000
Ni 2.411 2.411 2.411
```

---

(13)
The following is a DFT calculation (GGA-PBE) of NbNiOsPd2 after structural relaxation.

Space-group type: P4/mmm
Magnetic moment: 0.0 μB per formula unit
V: 17.42 Å³ per atom
Total DFT energy (no corrections): -6.336 eV/atom

Structure (extended XYZ):
```
5
Lattice="-4.281 1.172 0.056 -0.419 -1.331 -4.194 -1.096 -4.068 1.400" Properties=species:S:1:pos:R:3 pbc="T T T"
Ni 0.000 0.000 0.000
Os -2.898 -2.113 -1.369
Pd -2.141 0.586 0.028
Pd -0.548 -2.034 0.700
Nb -0.209 -0.665 -2.097
```

---

(14)
The following is a DFT calculation (GGA-PBE) of NbNiOsRu after structural relaxation.

Space-group type: Pmmm
Magnetic moment: 0.0 μB per formula unit
V: 14.26 Å³ per atom
Total DFT energy (no corrections): -9.254 eV/atom

Structure (extended XYZ):
```
4
Lattice="-1.267 3.171 1.659 -0.620 -1.964 3.280 3.604 0.826 1.175" Properties=species:S:1:pos:R:3 pbc="T T T"
Nb 1.168 1.998 1.417
Ru 1.492 -0.569 2.228
Ni -0.944 0.604 2.469
Os 0.000 0.000 0.000
```

---

(15)
The following is a DFT calculation (GGA-PBE) of ScNbNiOs after structural relaxation.

Space-group type: F-43m
Magnetic moment: 0.0 μB per formula unit
V: 15.93 Å³ per atom
Total DFT energy (no corrections): -8.689 eV/atom

Structure (extended XYZ):
```
4
Lattice="-4.298 0.604 -1.122 -3.184 -0.163 3.152 -2.132 3.747 1.229" Properties=species:S:1:pos:R:3 pbc="T T T"
Os -7.211 3.141 2.444
Sc -4.807 2.094 1.630
Nb 0.000 0.000 0.000
Ni -2.404 1.047 0.815
```

---

(16)
The following is a DFT calculation (GGA-PBE) of NbNi2OsSe after structural relaxation.

Space-group type: P4/mmm
Raw formation energy: 1.1177 eV per atom
Magnetic moment: 0.0 μB per formula unit
V: 19.86 Å³ per atom
Total DFT energy (no corrections): -6.152 eV/atom

Structure (extended XYZ):
```
5
Lattice="-4.042 1.789 -1.009 0.011 -2.354 -4.220 -2.054 -3.533 1.965" Properties=species:S:1:pos:R:3 pbc="T T T"
Ni -2.021 0.894 -0.504
Ni -1.027 -1.766 0.983
Os 0.000 0.000 0.000
Nb 0.006 -1.177 -2.110
Se -3.042 -2.049 -1.632
```

---

(17)
The following is a DFT calculation (GGA-PBE) of SrNbNiOs2 after structural relaxation.

Space-group type: P4/mmm
Magnetic moment: 0.6 μB per formula unit
V: 20.16 Å³ per atom
Total DFT energy (no corrections): -6.809 eV/atom

Structure (extended XYZ):
```
5
Lattice="-2.353 -1.484 3.822 3.873 -0.206 2.304 -0.584 4.483 1.382" Properties=species:S:1:pos:R:3 pbc="T T T"
Nb 1.936 -0.103 1.152
Ni 0.000 0.000 0.000
Sr 0.468 1.397 3.754
Os -0.292 2.242 0.691
Os -1.177 -0.742 1.911
```

---

(18)
The following is a DFT calculation (GGA-PBE) of TaNbNiOs after structural relaxation.

Space-group type: F-43m
Magnetic moment: 0.0 μB per formula unit
V: 15.63 Å³ per atom
Total DFT energy (no corrections): -9.892 eV/atom

Structure (extended XYZ):
```
4
Lattice="-1.478 1.377 -3.971 -4.036 -1.236 -1.426 -3.292 2.992 -0.236" Properties=species:S:1:pos:R:3 pbc="T T T"
Os -6.604 2.349 -4.225
Ni -2.201 0.783 -1.408
Nb -4.403 1.566 -2.816
Ta 0.000 0.000 0.000
```

---

(19)
The following is a DFT calculation (GGA-PBE) of NbNiTeOs2 after structural relaxation.

Space-group type: P4/mmm
Raw formation energy: 2.3138 eV per atom
Magnetic moment: 1.2 μB per formula unit
V: 22.71 Å³ per atom
Total DFT energy (no corrections): -5.977 eV/atom

Structure (extended XYZ):
```
5
Lattice="4.767 0.000 0.000 0.000 4.995 0.000 0.000 0.000 4.767" Properties=species:S:1:pos:R:3 pbc="T T T"
Te 0.000 0.000 0.000
Nb 0.000 2.498 0.000
Ni 2.384 2.498 2.384
Os 0.000 0.000 2.384
Os 2.384 0.000 0.000
```

---

(20)
The following is a DFT calculation (GGA-PBE) of TiNbNiOs after structural relaxation.

Space-group type: F-43m
Magnetic moment: 0.0 μB per formula unit
V: 15.07 Å³ per atom
Total DFT energy (no corrections): -9.071 eV/atom

Structure (extended XYZ):
```
4
Lattice="4.402 0.000 0.000 2.201 3.812 0.000 2.201 1.271 3.594" Properties=species:S:1:pos:R:3 pbc="T T T"
Ni 4.402 2.541 1.797
Nb 6.602 3.812 2.695
Ti 2.201 1.271 0.898
Os 0.000 0.000 0.000
```